1.
An optimized crystal structure of TaBe2NiH. Source: the Alexandria database, functional GGA-PBEsol.

Summary:
The density of states at the Fermi level comes out at 0.39 states/eV per atom. The uncorrected energy comes out at -5.050 eV per atom.

Lattice parameters (Å, degrees): 3.817 3.817 4.569 90.00 90.00 90.00
Sites, in units of the cell vectors:
Ta: 0.000 0.000 0.000
Be: 0.000 0.500 0.500
Be: 0.500 0.000 0.500
Ni: 0.000 0.000 0.500
H: 0.500 0.500 0.000

2.
An optimized crystal structure of SrIrC2. Source: the Alexandria database, functional GGA-PBEsol.

Summary:
The density of states at the Fermi level comes out at 0.33 states/eV per atom. Its formation energy is 1.51 eV per atom.

Lattice parameters (Å, degrees): 5.823 5.823 5.823 90.00 90.00 90.00
Sites, in units of the cell vectors:
Sr: 0.000 0.000 0.000
Sr: 0.000 0.500 0.500
Sr: 0.500 0.000 0.500
Sr: 0.500 0.500 0.000
Ir: 0.000 0.000 0.500
Ir: 0.000 0.500 0.000
Ir: 0.500 0.000 0.000
Ir: 0.500 0.500 0.500
C: 0.250 0.250 0.250
C: 0.250 0.250 0.750
C: 0.250 0.750 0.250
C: 0.250 0.750 0.750
C: 0.750 0.250 0.250
C: 0.750 0.250 0.750
C: 0.750 0.750 0.250
C: 0.750 0.750 0.750

3.
An optimized crystal structure of TlAgBiPt2. Source: the Alexandria database, functional GGA-PBEsol.

Summary:
The density of states at the Fermi level comes out at 0.50 states/eV per atom. Its formation energy is 0.91 eV per atom.

Lattice parameters (Å, degrees): 5.004 5.004 4.953 90.00 90.00 90.00
Sites, in units of the cell vectors:
Tl: 0.000 0.000 0.000
Ag: 0.000 0.000 0.500
Bi: 0.500 0.500 0.500
Pt: 0.000 0.500 0.000
Pt: 0.500 0.000 0.000

4.
An optimized crystal structure of Cd7Hg. Source: the Alexandria database, functional GGA-PBEsol.

Summary:
The density of states at the Fermi level comes out at 0.31 states/eV per atom. Its formation energy is 0.00 eV per atom.

Lattice parameters (Å, degrees): 6.190 6.190 6.190 60.00 60.00 60.00
Sites, in units of the cell vectors:
Cd: 0.000 0.000 0.000
Cd: 0.000 0.000 0.500
Cd: 0.000 0.500 0.000
Cd: 0.000 0.500 0.500
Cd: 0.500 0.000 0.000
Cd: 0.500 0.000 0.500
Cd: 0.500 0.500 0.000
Hg: 0.500 0.500 0.500

5.
An optimized crystal structure of BeCuRu2. Source: the Alexandria database, functional GGA-PBEsol.

Summary:
The density of states at the Fermi level comes out at 0.54 states/eV per atom. Its formation energy is 0.08 eV per atom.

Lattice parameters (Å, degrees): 3.753 2.652 9.411 90.00 90.00 90.00
Sites, in units of the cell vectors:
Be: 0.000 0.000 0.000
Be: 0.000 0.500 0.500
Cu: 0.500 0.000 0.882
Cu: 0.500 0.500 0.382
Ru: 0.000 0.000 0.248
Ru: 0.000 0.500 0.748
Ru: 0.500 0.000 0.617
Ru: 0.500 0.500 0.117

6.
An optimized crystal structure of Mg2ScTl. Source: the Alexandria database, functional GGA-PBEsol.

Summary:
The density of states at the Fermi level comes out at 0.57 states/eV per atom. Its formation energy is -0.14 eV per atom. The excess energy over the best structure of this formula in the dataset comes out at 95 meV per atom.

Lattice parameters (Å, degrees): 4.565 4.565 8.434 90.00 90.00 90.00
Sites, in units of the cell vectors:
Mg: 0.000 0.000 0.000
Mg: 0.000 0.500 0.250
Mg: 0.500 0.000 0.750
Mg: 0.500 0.500 0.500
Sc: 0.000 0.500 0.750
Sc: 0.500 0.000 0.250
Tl: 0.000 0.000 0.500
Tl: 0.500 0.500 0.000

7.
An optimized crystal structure of MgInAu. Source: the Alexandria database, functional GGA-PBEsol.

Summary:
The density of states at the Fermi level comes out at 0.24 states/eV per atom. Its formation energy is -0.33 eV per atom.

Lattice parameters (Å, degrees): 3.657 3.689 8.635 90.00 90.00 90.00
Sites, in units of the cell vectors:
Mg: 0.000 0.000 0.000
Mg: 0.500 0.500 0.500
In: 0.000 0.000 0.323
In: 0.500 0.500 0.823
Au: 0.000 0.000 0.658
Au: 0.500 0.500 0.158

8.
An optimized crystal structure of Re2RuPb. Source: the Alexandria database, functional GGA-PBEsol.

Summary:
The density of states at the Fermi level comes out at 1.05 states/eV per atom. Its formation energy is 0.76 eV per atom.

Lattice parameters (Å, degrees): 2.844 3.977 5.965 90.00 90.00 90.00
Sites, in units of the cell vectors:
Re: 0.000 0.000 0.200
Re: 0.000 0.000 0.800
Ru: 0.500 0.500 0.000
Pb: 0.500 0.500 0.500

9.
An optimized crystal structure of YIrRu2. Source: the Alexandria database, functional GGA-PBEsol.

Summary:
The density of states at the Fermi level comes out at 0.82 states/eV per atom. Its formation energy is 0.03 eV per atom. The excess energy over the best structure of this formula in the dataset comes out at 0 meV per atom.

Lattice parameters (Å, degrees): 2.866 2.866 7.790 90.00 90.00 90.00
Sites, in units of the cell vectors:
Y: 0.000 0.000 0.000
Ir: 0.500 0.500 0.281
Ru: 0.000 0.000 0.506
Ru: 0.500 0.500 0.713

10.
An optimized crystal structure of Sr2MgZn. Source: the Alexandria database, functional GGA-PBEsol.

Summary:
The density of states at the Fermi level comes out at 0.72 states/eV per atom. Its formation energy is -0.07 eV per atom. The excess energy over the best structure of this formula in the dataset comes out at 36 meV per atom.

Lattice parameters (Å, degrees): 7.953 7.953 7.953 90.00 90.00 90.00
Sites, in units of the cell vectors:
Sr: 0.250 0.250 0.250
Sr: 0.250 0.250 0.750
Sr: 0.250 0.750 0.250
Sr: 0.250 0.750 0.750
Sr: 0.750 0.250 0.250
Sr: 0.750 0.250 0.750
Sr: 0.750 0.750 0.250
Sr: 0.750 0.750 0.750
Mg: 0.000 0.000 0.000
Mg: 0.000 0.500 0.500
Mg: 0.500 0.000 0.500
Mg: 0.500 0.500 0.000
Zn: 0.000 0.000 0.500
Zn: 0.000 0.500 0.000
Zn: 0.500 0.000 0.000
Zn: 0.500 0.500 0.500

11.
An optimized crystal structure of LiHfBePt2. Source: the Alexandria database, functional GGA-PBEsol.

Summary:
The density of states at the Fermi level comes out at 0.59 states/eV per atom. Its formation energy is -0.39 eV per atom.

Lattice parameters (Å, degrees): 4.299 4.299 3.934 90.00 90.00 90.00
Sites, in units of the cell vectors:
Li: 0.000 0.000 0.000
Hf: 0.500 0.500 0.000
Be: 0.000 0.000 0.500
Pt: 0.000 0.500 0.500
Pt: 0.500 0.000 0.500

12.
An optimized crystal structure of ZnInPb2. Source: the Alexandria database, functional GGA-PBEsol.

Summary:
The density of states at the Fermi level comes out at 0.41 states/eV per atom. Its formation energy is 0.09 eV per atom.

Lattice parameters (Å, degrees): 3.404 3.404 30.178 90.00 90.00 120.00
Sites, in units of the cell vectors:
Zn: 0.000 0.000 0.000
Zn: 0.333 0.667 0.667
Zn: 0.667 0.333 0.333
In: 0.000 0.000 0.736
In: 0.333 0.667 0.403
In: 0.667 0.333 0.069
Pb: 0.000 0.000 0.258
Pb: 0.000 0.000 0.491
Pb: 0.333 0.667 0.158
Pb: 0.333 0.667 0.925
Pb: 0.667 0.333 0.592
Pb: 0.667 0.333 0.825

13.
An optimized crystal structure of K2IrPt. Source: the Alexandria database, functional GGA-PBEsol.

Summary:
The density of states at the Fermi level comes out at 0.60 states/eV per atom. Its formation energy is 0.58 eV per atom. The excess energy over the best structure of this formula in the dataset comes out at 204 meV per atom.

Lattice parameters (Å, degrees): 2.835 2.835 32.369 90.00 90.00 120.00
Sites, in units of the cell vectors:
K: 0.000 0.000 0.250
K: 0.000 0.000 0.750
K: 0.333 0.667 0.417
K: 0.333 0.667 0.917
K: 0.667 0.333 0.083
K: 0.667 0.333 0.583
Ir: 0.000 0.000 0.000
Ir: 0.333 0.667 0.667
Ir: 0.667 0.333 0.333
Pt: 0.000 0.000 0.500
Pt: 0.333 0.667 0.167
Pt: 0.667 0.333 0.833

14.
An optimized crystal structure of BaCu13. Source: the Alexandria database, functional GGA-PBEsol.

Summary:
The density of states at the Fermi level comes out at 0.31 states/eV per atom. Its formation energy is 0.01 eV per atom.

Lattice parameters (Å, degrees): 8.146 8.146 8.146 60.00 60.00 60.00
Sites, in units of the cell vectors:
Ba: 0.250 0.250 0.250
Ba: 0.750 0.750 0.750
Cu: 0.000 0.000 0.000
Cu: 0.064 0.294 0.706
Cu: 0.064 0.706 0.936
Cu: 0.064 0.936 0.294
Cu: 0.206 0.436 0.794
Cu: 0.206 0.564 0.436
Cu: 0.206 0.794 0.564
Cu: 0.294 0.064 0.936
Cu: 0.294 0.706 0.064
Cu: 0.294 0.936 0.706
Cu: 0.436 0.206 0.564
Cu: 0.436 0.564 0.794
Cu: 0.436 0.794 0.206
Cu: 0.500 0.500 0.500
Cu: 0.564 0.206 0.794
Cu: 0.564 0.436 0.206
Cu: 0.564 0.794 0.436
Cu: 0.706 0.064 0.294
Cu: 0.706 0.294 0.936
Cu: 0.706 0.936 0.064
Cu: 0.794 0.206 0.436
Cu: 0.794 0.436 0.564
Cu: 0.794 0.564 0.206
Cu: 0.936 0.064 0.706
Cu: 0.936 0.294 0.064
Cu: 0.936 0.706 0.294

15.
An optimized crystal structure of Y2TcRh. Source: the Alexandria database, functional GGA-PBEsol.

Summary:
The density of states at the Fermi level comes out at 1.09 states/eV per atom. Its formation energy is 0.04 eV per atom.

Lattice parameters (Å, degrees): 3.116 3.116 8.607 90.00 90.00 90.00
Sites, in units of the cell vectors:
Y: 0.000 0.000 0.000
Y: 0.500 0.500 0.366
Tc: 0.000 0.000 0.603
Rh: 0.500 0.500 0.763

16.
An optimized crystal structure of La5Zn3. Source: the Alexandria database, functional GGA-PBEsol.

Summary:
The density of states at the Fermi level comes out at 1.23 states/eV per atom. Its formation energy is -0.14 eV per atom. The excess energy over the best structure of this formula in the dataset comes out at 26 meV per atom.

Lattice parameters (Å, degrees): 7.818 10.454 5.254 90.00 90.00 90.00
Sites, in units of the cell vectors:
La: 0.000 0.000 0.000
La: 0.205 0.500 0.500
La: 0.250 0.250 0.000
La: 0.250 0.750 0.000
La: 0.295 0.000 0.500
La: 0.500 0.500 0.000
La: 0.705 0.000 0.500
La: 0.750 0.250 0.000
La: 0.750 0.750 0.000
La: 0.795 0.500 0.500
Zn: 0.000 0.223 0.500
Zn: 0.000 0.500 0.000
Zn: 0.000 0.777 0.500
Zn: 0.500 0.000 0.000
Zn: 0.500 0.277 0.500
Zn: 0.500 0.723 0.500

17.
An optimized crystal structure of SbAs2W. Source: the Alexandria database, functional GGA-PBEsol.

Summary:
For the formation energy (no corrections), the calculation gives 2.034 eV/f.u. The density of states at the Fermi level comes out at 0.57 states/eV per atom.

Lattice parameters (Å, degrees): 3.384 4.760 9.583 90.00 90.00 90.00
Sites, in units of the cell vectors:
Sb: 0.000 0.000 0.000
Sb: 0.500 0.500 0.000
As: 0.000 0.000 0.446
As: 0.000 0.500 0.721
As: 0.500 0.000 0.721
As: 0.500 0.500 0.446
W: 0.000 0.500 0.246
W: 0.500 0.000 0.246

18.
An optimized crystal structure of GdPS4. Source: the Alexandria database, functional GGA-PBEsol.

Summary:
For the formation energy (no corrections), the calculation gives -6.497 eV/f.u.

Lattice parameters (Å, degrees): 12.064 12.064 12.064 127.65 127.65 77.20
Sites, in units of the cell vectors:
Gd: 0.125 0.375 0.750
Gd: 0.125 0.875 0.250
Gd: 0.375 0.125 0.250
Gd: 0.375 0.625 0.750
Gd: 0.625 0.375 0.250
Gd: 0.625 0.875 0.750
Gd: 0.875 0.125 0.750
Gd: 0.875 0.625 0.250
P: 0.212 0.250 0.462
P: 0.250 0.288 0.038
P: 0.250 0.788 0.538
P: 0.288 0.750 0.038
P: 0.712 0.250 0.962
P: 0.750 0.212 0.462
P: 0.750 0.712 0.962
P: 0.788 0.750 0.538
S: 0.084 0.887 0.477
S: 0.090 0.392 0.977
S: 0.092 0.663 0.935
S: 0.108 0.410 0.523
S: 0.113 0.090 0.198
S: 0.157 0.092 0.929
S: 0.163 0.592 0.435
S: 0.228 0.157 0.565
S: 0.272 0.837 0.929
S: 0.337 0.772 0.429
S: 0.343 0.272 0.935
S: 0.387 0.584 0.977
S: 0.392 0.916 0.302
S: 0.408 0.343 0.571
S: 0.410 0.387 0.302
S: 0.416 0.892 0.802
S: 0.584 0.108 0.198
S: 0.590 0.613 0.698
S: 0.592 0.657 0.429
S: 0.608 0.084 0.698
S: 0.613 0.416 0.023
S: 0.657 0.728 0.065
S: 0.663 0.228 0.571
S: 0.728 0.163 0.071
S: 0.772 0.843 0.435
S: 0.837 0.408 0.565
S: 0.843 0.908 0.071
S: 0.887 0.910 0.802
S: 0.892 0.590 0.477
S: 0.908 0.337 0.065
S: 0.910 0.608 0.023
S: 0.916 0.113 0.523

19.
An optimized crystal structure of Li2AlAg. Source: the Alexandria database, functional GGA-PBEsol.

Summary:
The density of states at the Fermi level comes out at 0.30 states/eV per atom. Its formation energy is -0.17 eV per atom.

Lattice parameters (Å, degrees): 2.738 4.400 5.206 90.00 99.04 90.00
Sites, in units of the cell vectors:
Li: 0.000 0.000 0.000
Li: 0.199 0.500 0.769
Al: 0.459 0.000 0.494
Ag: 0.777 0.500 0.271

20.
An optimized crystal structure of LaReN2. Source: the Alexandria database, functional GGA-PBEsol.

Summary:
For the formation energy (no corrections), the calculation gives -0.967 eV/f.u. The density of states at the Fermi level comes out at 0.33 states/eV per atom.

Lattice parameters (Å, degrees): 3.692 3.692 18.179 90.00 90.00 120.00
Sites, in units of the cell vectors:
La: 0.000 0.000 0.000
La: 0.333 0.667 0.667
La: 0.667 0.333 0.333
Re: 0.000 0.000 0.500
Re: 0.333 0.667 0.167
Re: 0.667 0.333 0.833
N: 0.000 0.000 0.399
N: 0.000 0.000 0.601
N: 0.333 0.667 0.066
N: 0.333 0.667 0.268
N: 0.667 0.333 0.732
N: 0.667 0.333 0.934